The following is a DFT calculation (PBE) of a geometry-optimized LiOs2Au structure.

The structure in extended XYZ format:
```
4
Lattice="3.662 0.000 0.000 0.000 3.662 0.000 0.000 0.000 4.360" Properties=species:S:1:pos:R:3 pbc="T T T"
Li 0.000 0.000 0.000
Os 0.000 1.831 2.180
Os 1.831 0.000 2.180
Au 1.831 1.831 0.000
```

Summary:
Energy relative to the elements: 39.6 kJ per mole of atoms
Symmetry: P4/mmm, No. 123
Energy relative to the lowest polymorph listed for this composition: 1.104 eV per formula unit



The following is a DFT calculation (PBE) of a geometry-optimized NdHo7Sc3 structure.

The structure in extended XYZ format:
```
11
Lattice="6.947 0.000 0.000 -3.473 6.016 0.000 0.000 0.000 8.241" Properties=species:S:1:pos:R:3 pbc="T T T"
Nd 0.000 0.000 0.000
Ho -1.723 3.016 8.140
Ho 1.725 0.996 2.821
Ho 0.000 4.011 2.735
Ho 1.723 3.016 8.140
Ho 0.000 6.000 8.140
Ho 5.221 0.996 2.821
Ho 3.473 4.024 2.821
Sc 0.000 2.021 5.466
Sc -1.723 5.006 5.466
Sc 1.723 5.006 5.466
```

Summary:
Energy relative to the elements: 21.8 kJ per mole of atoms
Symmetry: P3m1, No. 156



The following is a DFT calculation (PBE) of a geometry-optimized InTc2Te structure.

The structure in extended XYZ format:
```
16
Lattice="6.662 0.000 0.000 0.000 6.662 0.000 0.000 0.000 6.662" Properties=species:S:1:pos:R:3 pbc="T T T"
In 0.000 0.000 0.000
In 0.000 3.331 3.331
In 3.331 0.000 3.331
In 3.331 3.331 0.000
Tc 0.000 0.000 3.331
Tc 0.000 3.331 0.000
Tc 1.665 1.665 4.996
Tc 1.665 4.996 1.665
Tc 3.331 0.000 0.000
Tc 3.331 3.331 3.331
Tc 4.996 1.665 1.665
Tc 4.996 4.996 4.996
Te 1.665 1.665 1.665
Te 1.665 4.996 4.996
Te 4.996 1.665 4.996
Te 4.996 4.996 1.665
```

Summary:
Symmetry: F-43m, No. 216
Uncorrected formation energy: 0.70 eV/atom
Energy relative to the lowest polymorph listed for this composition: 2.037 eV per formula unit



Calculated density: 16.6, 6.9, 9.8 (Mg/m³)
E_tot: -6.502, -4.847, -5.948 (eV/atom)
DOS(E_F): 3.34, 18.13, 12.05 (states/eV/cell)